Compound: KSrCoO3
Source: the Alexandria database
Functional: PBE with a Hubbard U
Structure: relaxed

Lattice parameters (Å, degrees): 6.923 6.923 7.663 105.52 105.52 32.53
Sites, in units of the cell vectors:
K 0.146 0.146 0.067
K 0.854 0.854 0.933
Sr 0.153 0.153 0.581
Sr 0.847 0.847 0.419
Co 0.495 0.495 0.725
Co 0.505 0.505 0.275
O 0.005 0.005 0.282
O 0.351 0.351 0.647
O 0.363 0.363 0.209
O 0.637 0.637 0.791
O 0.649 0.649 0.353
O 0.995 0.995 0.718

Results
**Electronic total energy**: -5.481 eV/atom
**D(E_F)**: 1.08 states/eV/f.u.
**Space-group type**: C2/m (12)
**Theoretical density**: 4.09 g/cm3